# BeMoIr2

A relaxed BeMoIr2 crystal (GGA-PBE, Alexandria via LeMat-Bulk).

a b c (Å): 2.7883 3.5207 5.5577
angles (deg): 90.00 90.00 90.00
Space group Pmmm (No. 47)
One atom of each set of equivalent atoms:
Be (0.0000, 0.0000, 0.0000) x1
Mo (0.0000, 0.0000, 0.5000) x1
Ir (0.5000, 0.5000, 0.2339) x2

Computed properties:
For the calculated density, the calculation gives 14.9 g cm⁻³. The total moment comes out at 0.00 Bohr magnetons per cell. For the calculated formation energy, the calculation gives -0.26 eV/atom.

=====

# LaGdDyY

A relaxed LaGdDyY crystal (GGA-PBE, Alexandria via LeMat-Bulk).

a b c (Å): 8.1463 8.1463 8.1463
angles (deg): 90.00 90.00 90.00
Space group F-43m (No. 216)
One atom of each set of equivalent atoms:
La (0.0000, 0.0000, 0.0000) x4
Gd (0.0000, 0.0000, 0.5000) x4
Dy (0.2500, 0.2500, 0.7500) x4
Y (0.2500, 0.2500, 0.2500) x4

Computed properties:
For the calculated density, the calculation gives 6.7 g cm⁻³. The total moment comes out at 30.88 Bohr magnetons per cell. For the calculated formation energy, the calculation gives 0.10 eV/atom.

=====

# InSb2TeI

A relaxed InSb2TeI crystal (GGA-PBE, Alexandria via LeMat-Bulk).

a b c (Å): 5.8055 5.8055 6.2337
angles (deg): 90.00 90.00 90.00
Space group P4/mmm (No. 123)
One atom of each set of equivalent atoms:
In (0.0000, 0.0000, 0.0000) x1
Sb (0.0000, 0.5000, 0.5000) x2
Te (0.5000, 0.5000, 0.5000) x1
I (0.5000, 0.5000, 0.0000) x1

Computed properties:
The calculation puts the uncorrected formation energy at 527 meV per atom. For the calculated density, the calculation gives 4.8 g cm⁻³. The total moment comes out at 0.85 Bohr magnetons per cell.

=====

# Ca2AlSn2Au4

A relaxed Ca2AlSn2Au4 crystal (GGA-PBE, Alexandria via LeMat-Bulk).

a b c (Å): 6.7217 6.7217 9.2710
angles (deg): 90.00 90.00 90.00
Space group I4/mmm (No. 139)
One atom of each set of equivalent atoms:
Ca (0.0000, 0.5000, 0.2500) x4
Al (0.0000, 0.0000, 0.0000) x2
Sn (0.0000, 0.0000, 0.3071) x4
Au (0.2361, 0.2361, 0.5000) x8

Computed properties:
For the calculated density, the calculation gives 9.0 g cm⁻³. The total moment comes out at 0.00 Bohr magnetons per cell. For the calculated formation energy, the calculation gives -0.48 eV/atom.

=====

# Na7I3O2

A relaxed Na7I3O2 crystal (GGA-PBE, Alexandria via LeMat-Bulk).

a b c (Å): 4.6832 28.0687 4.6607
angles (deg): 90.00 90.00 90.00
Space group Cmmm (No. 65)
One atom of each set of equivalent atoms:
Na (0.0000, 0.0000, 0.0000) x2
Na (0.0000, 0.0858, 0.5000) x4
Na (0.0000, 0.1658, 0.0000) x4
Na (0.0000, 0.4142, 0.0000) x4
I (0.0000, 0.3238, 0.5000) x4
I (0.0000, 0.5000, 0.5000) x2
O (0.0000, 0.0845, 0.0000) x4

Computed properties:
The calculation puts the uncorrected formation energy at -1244 meV per atom. For the calculated density, the calculation gives 3.1 g cm⁻³. The total moment comes out at 0.39 Bohr magnetons per cell.

=====

# YAl2Ni6

A relaxed YAl2Ni6 crystal (GGA-PBE, Alexandria via LeMat-Bulk).

a b c (Å): 10.4958 10.4958 10.4958
angles (deg): 90.00 90.00 90.00
Space group Fd-3m (No. 227, origin choice 2)
One atom of each set of equivalent atoms:
Y (0.1250, 0.1250, 0.1250) x8
Al (0.0000, 0.0000, 0.5000) x16
Ni (0.1201, 0.3750, 0.3750) x48

Computed properties:
For the calculated density, the calculation gives 5.7 g cm⁻³. The total moment comes out at 0.00 Bohr magnetons per cell. For the calculated formation energy, the calculation gives 0.18 eV/atom.

=====

# Rb5SnS5

A relaxed Rb5SnS5 crystal (GGA-PBE, Alexandria via LeMat-Bulk).

a b c (Å): 14.8570 6.3715 8.9154
angles (deg): 90.00 109.39 90.00
Space group C2/m (No. 12)
One atom of each set of equivalent atoms:
Rb (0.0000, 0.0000, 0.0000) x2
Rb (0.1680, 0.5000, 0.3431) x4
Rb (0.1932, 0.5000, 0.7995) x4
Sn (0.0000, 0.0000, 0.5000) x2
S (0.0000, 0.5000, 0.5000) x2
S (0.1258, 0.0000, 0.3671) x4
S (0.1338, 0.0000, 0.7747) x4

Computed properties:
The calculation puts the uncorrected formation energy at -732 meV per atom. For the calculated density, the calculation gives 2.9 g cm⁻³. The total moment comes out at 2.15 Bohr magnetons per cell.

=====

# NaHfBeZn2

A relaxed NaHfBeZn2 crystal (GGA-PBE, Alexandria via LeMat-Bulk).

a b c (Å): 4.5118 4.5118 4.3709
angles (deg): 90.00 90.00 90.00
Space group P4/mmm (No. 123)
One atom of each set of equivalent atoms:
Na (0.0000, 0.0000, 0.0000) x1
Hf (0.5000, 0.5000, 0.5000) x1
Be (0.0000, 0.0000, 0.5000) x1
Zn (0.0000, 0.5000, 0.0000) x2

Computed properties:
For the calculated density, the calculation gives 6.4 g cm⁻³. The total moment comes out at 0.00 Bohr magnetons per cell. For the calculated formation energy, the calculation gives 1.03 eV/atom.